Here is HfV2InF after structural relaxation from the Alexandria database. Energies are from PBE with a Hubbard U.

POSCAR file:
```
HfV2InF
1.0
-4.007 -2.647 -2.681
-1.429 -1.353 3.471
-3.212 4.446 0.411
V Hf In F
2 1 1 1
direct
0.000 0.000 0.500
0.500 0.000 0.000
0.000 0.000 0.000
0.500 0.500 0.500
0.000 0.500 0.000
```

Calculated values
symmetry	P4/mmm
total energy	-5.4176	eV/atom